Crystalline La2ScTiGe at its relaxed geometry. Source: the Alexandria database, functional GGA-PBE.

The structure belongs to space group P4/mmm (No. 123); the cell edges are 5.500, 5.500 and 5.067 Å and the angles 90.00°, 90.00° and 90.00°. The inequivalent atoms are La at (0.000, 0.500, 0.000), Sc at (0.000, 0.000, 0.000), Ti at (0.500, 0.500, 0.500) and Ge at (0.000, 0.000, 0.500).

For the volume, the calculation gives 153.3 Å³ per cell. The formation energy comes out at 0.813 eV per atom. As for the crystal system: tetragonal. The calculation puts the total moment at 0.0 μB per cell. The total energy is -24.63 eV/cell.